# 1
Crystalline Zr2Ti2Hg at its relaxed geometry. Source: Alexandria via LeMat-Bulk, functional GGA-PBEsol.

Lattice parameters (Å, degrees): 4.0099 4.0099 12.6418 90.00 90.00 90.00
With the nearest neighbours (Å) after each atom.
Element x y z (fractional)
Zr 0.0000 0.5000 0.2500  4 Zr 2.84, 4 Ti 2.93
Zr 0.0000 0.5000 0.7500  4 Zr 2.84, 4 Ti 2.93
Zr 0.5000 0.0000 0.2500  4 Zr 2.84, 4 Ti 2.93
Zr 0.5000 0.0000 0.7500  4 Zr 2.84, 4 Ti 2.93
Ti 0.0000 0.0000 0.0814  1 Ti 2.06
Ti 0.0000 0.0000 0.9186  1 Ti 2.06
Ti 0.5000 0.5000 0.4186  1 Ti 2.06
Ti 0.5000 0.5000 0.5814  1 Ti 2.06
Hg 0.0000 0.0000 0.5000  8 Ti 3.02
Hg 0.5000 0.5000 0.0000  8 Ti 3.02

Summary:
**DFT formation energy**: 0.482 eV/atom

# 2
Crystalline PS2N at its relaxed geometry. Source: Alexandria via LeMat-Bulk, functional GGA-PBEsol.

Lattice parameters (Å, degrees): 5.7694 5.7694 6.8646 90.00 90.00 90.00
With the nearest neighbours (Å) after each atom.
Element x y z (fractional)
P 0.0000 0.0000 0.0000  4 S 2.34
P 0.0000 0.5000 0.2500  4 S 2.34
P 0.5000 0.0000 0.7500  4 S 2.34
P 0.5000 0.5000 0.5000  4 S 2.34
S 0.2170 0.2500 0.6250  2 N 2.09, 2 P 2.34
S 0.2500 0.7170 0.8750  2 N 2.09, 2 P 2.34
S 0.2500 0.7830 0.3750  2 N 2.09, 2 P 2.34
S 0.2830 0.2500 0.1250  2 N 2.09, 2 P 2.34
S 0.7170 0.7500 0.1250  2 N 2.09, 2 P 2.34
S 0.7500 0.2170 0.3750  2 N 2.09, 2 P 2.34
S 0.7500 0.2830 0.8750  2 N 2.09, 2 P 2.34
S 0.7830 0.7500 0.6250  2 N 2.09, 2 P 2.34
N 0.0000 0.0000 0.5000  4 S 2.09
N 0.0000 0.5000 0.7500  4 S 2.09
N 0.5000 0.0000 0.2500  4 S 2.09
N 0.5000 0.5000 0.0000  4 S 2.09

Summary:
**E_form (uncorrected)**: 1026.1 meV per atom

# 3
Crystalline Sr2CaLa at its relaxed geometry. Source: Alexandria via LeMat-Bulk, functional GGA-PBEsol.

Lattice parameters (Å, degrees): 3.9742 3.9742 11.0638 90.00 90.00 90.00
With the nearest neighbours (Å) after each atom.
Element x y z (fractional)
Sr 0.0000 0.0000 0.0000  4 La 3.90, 8 Sr 3.97-4.20
Sr 0.5000 0.5000 0.2819  8 Sr 3.97-4.20, 4 Ca 3.98
Ca 0.0000 0.0000 0.5367  4 La 3.71, 4 Ca 3.97, 4 Sr 3.98
La 0.5000 0.5000 0.7552  4 Ca 3.71, 4 Sr 3.90, 4 La 3.97

Summary:
**Distance to the lowest polymorph of the same formula**: 0.000 eV per atom
**DFT formation energy**: 0.096 eV/atom

# 4
Crystalline Na2SnC2 at its relaxed geometry. Source: Alexandria via LeMat-Bulk, functional GGA-PBEsol.

Lattice parameters (Å, degrees): 4.3670 4.3670 8.1869 90.00 90.00 90.00
With the nearest neighbours (Å) after each atom.
Element x y z (fractional)
Na 0.0000 0.0000 0.1436  1 Na 2.35, 4 C 2.35
Na 0.0000 0.0000 0.8564  1 Na 2.35, 4 C 2.35
Na 0.5000 0.5000 0.3564  1 Na 2.35, 4 C 2.35
Na 0.5000 0.5000 0.6436  1 Na 2.35, 4 C 2.35
Sn 0.0000 0.0000 0.5000  2 Na 2.92, 8 C 2.99
Sn 0.5000 0.5000 0.0000  2 Na 2.92, 8 C 2.99
C 0.0000 0.5000 0.2500  4 Na 2.35
C 0.0000 0.5000 0.7500  4 Na 2.35
C 0.5000 0.0000 0.2500  4 Na 2.35
C 0.5000 0.0000 0.7500  4 Na 2.35

Summary:
**DFT formation energy**: 1.895 eV/atom

Number 1: volume 203.3 Å³ per cell, density of states at the Fermi level 11.91 states/eV/cell, total DFT energy (no corrections) -6.596 eV/atom. Number 2: volume 228.5 Å³ per cell, density of states at the Fermi level 6.17 states/eV/cell, total DFT energy (no corrections) -4.745 eV/atom. Number 3: volume 174.7 Å³ per cell, density of states at the Fermi level 5.50 states/eV/cell, total DFT energy (no corrections) -2.694 eV/atom. Number 4: volume 156.1 Å³ per cell, density of states at the Fermi level 5.34 states/eV/cell, total DFT energy (no corrections) -3.374 eV/atom.